[1]
NaTiCd2: optimized geometry, GGA-PBE.

Lattice parameters (Å, degrees): 6.3826 6.3826 6.3826 103.87 103.87 121.37
Fractional coordinates of all 8 atoms:
Na 0.0000 0.0000 0.0000
Na 0.7500 0.2500 0.5000
Ti 0.2500 0.7500 0.5000
Ti 0.5000 0.5000 0.0000
Cd 0.1356 0.6250 0.0106
Cd 0.3750 0.3856 0.5106
Cd 0.6144 0.1250 0.9894
Cd 0.8750 0.8644 0.4894

- V: 193.58 Å³/cell
- Energy of formation: 466 meV/atom
- SG: I-42d

---

[2]
ThSi3OsRh: optimized geometry, GGA-PBE.

Lattice parameters (Å, degrees): 7.1239 7.1239 5.7635 90.00 90.00 127.07
Fractional coordinates of all 12 atoms:
Th 0.2055 0.7945 0.7500
Th 0.7945 0.2055 0.2500
Si 0.2128 0.7872 0.2500
Si 0.3000 0.3000 0.0000
Si 0.3000 0.3000 0.5000
Si 0.7000 0.7000 0.0000
Si 0.7000 0.7000 0.5000
Si 0.7872 0.2128 0.7500
Os 0.0326 0.9674 0.2500
Os 0.9674 0.0326 0.7500
Rh 0.3876 0.6124 0.2500
Rh 0.6124 0.3876 0.7500

- ΔE_f (raw): -252 kJ/mol of formula units
- V: 233.40 Å³/cell
- SG: Cmcm

---

[3]
CeGa2SiNi2: optimized geometry, GGA-PBE.

Lattice parameters (Å, degrees): 4.3057 4.3057 5.5809 90.00 90.00 90.00
Fractional coordinates of all 6 atoms:
Ce 0.0000 0.0000 0.0000
Ga 0.5000 0.5000 0.2401
Ga 0.5000 0.5000 0.7599
Si 0.0000 0.0000 0.5000
Ni 0.0000 0.5000 0.5000
Ni 0.5000 0.0000 0.5000

- ΔE_f (raw): -229 kJ/mol of formula units
- V: 103.46 Å³/cell
- SG: P4/mmm

---

[4]
Rb2TlP2S7: optimized geometry, GGA-PBE.

Lattice parameters (Å, degrees): 10.1466 10.1466 10.1466 37.04 37.04 37.04
Fractional coordinates of all 12 atoms:
Rb 0.1600 0.1600 0.1600
Rb 0.8400 0.8400 0.8400
Tl 0.0000 0.0000 0.0000
P 0.4183 0.4183 0.4183
P 0.5817 0.5817 0.5817
S 0.0833 0.4361 0.6904
S 0.3096 0.5639 0.9167
S 0.4361 0.6904 0.0833
S 0.5000 0.5000 0.5000
S 0.5639 0.9167 0.3096
S 0.6904 0.0833 0.4361
S 0.9167 0.3096 0.5639

- ΔE_f (raw): -518 kJ/mol of formula units
- V: 339.65 Å³/cell
- SG: R32

---

[5]
Ho3Er2Bi2: optimized geometry, GGA-PBE.

Lattice parameters (Å, degrees): 6.4099 6.4099 8.5064 106.51 106.51 39.25
Fractional coordinates of all 7 atoms:
Ho 0.0000 0.0000 0.0000
Ho 0.1263 0.1263 0.4436
Ho 0.8737 0.8737 0.5564
Er 0.3809 0.3809 0.2370
Er 0.6191 0.6191 0.7630
Bi 0.3216 0.3216 0.8153
Bi 0.6784 0.6784 0.1847

- V: 210.85 Å³/cell
- Energy of formation: -437 meV/atom
- SG: C2/m

---

[6]
Tb3DyNi: optimized geometry, GGA-PBE.

Lattice parameters (Å, degrees): 6.3043 6.3043 13.8437 114.44 114.44 33.45
Fractional coordinates of all 10 atoms:
Tb 0.0000 0.0000 0.0000
Tb 0.0466 0.0466 0.6000
Tb 0.2152 0.2152 0.8769
Tb 0.3527 0.3527 0.3596
Tb 0.4257 0.4257 0.7581
Tb 0.7795 0.7795 0.1189
Dy 0.5643 0.5643 0.2420
Dy 0.7320 0.7320 0.5173
Ni 0.0518 0.0518 0.3902
Ni 0.7280 0.7280 0.7274

- V: 273.56 Å³/cell
- Energy of formation: -166 meV/atom
- SG: Cm

---

[7]
ReB2RuPb: optimized geometry, GGA-PBE.

Lattice parameters (Å, degrees): 4.1057 4.1057 5.3563 90.00 90.00 90.00
Fractional coordinates of all 5 atoms:
Re 0.0000 0.0000 0.0000
B 0.0000 0.5000 0.0000
B 0.5000 0.0000 0.0000
Ru 0.5000 0.5000 0.5000
Pb 0.0000 0.0000 0.5000

- V: 90.29 Å³/cell
- Energy of formation: 1520 meV/atom
- SG: P4/mmm

---

[8]
VHRu2Rh: optimized geometry, GGA-PBE.

Lattice parameters (Å, degrees): 3.8400 3.8400 3.8831 90.00 90.00 90.00
Fractional coordinates of all 5 atoms:
V 0.0000 0.0000 0.0000
H 0.0000 0.0000 0.5000
Ru 0.0000 0.5000 0.5000
Ru 0.5000 0.0000 0.5000
Rh 0.5000 0.5000 0.0000

- V: 57.26 Å³/cell
- Electronic total energy: -7.827 eV per atom
- SG: P4/mmm

---

[9]
LaOs2: optimized geometry, GGA-PBE.

Lattice parameters (Å, degrees): 2.8755 2.8755 7.7384 90.00 90.00 120.00
Fractional coordinates of all 3 atoms:
La 0.0000 0.0000 0.0000
Os 0.3333 0.6667 0.6307
Os 0.6667 0.3333 0.3693

- V: 55.41 Å³/cell
- Energy of formation: 672 meV/atom
- SG: P-3m1

---

[10]
La3Y7Tm: optimized geometry, GGA-PBE.

Lattice parameters (Å, degrees): 7.1437 7.1437 8.7829 90.00 90.00 120.00
Fractional coordinates of all 11 atoms:
La 0.0012 0.5006 0.0000
La 0.4994 0.5006 0.0000
La 0.4994 0.9988 0.0000
Y 0.1676 0.3352 0.6591
Y 0.1676 0.8324 0.6591
Y 0.3345 0.1673 0.3377
Y 0.6648 0.8324 0.6591
Y 0.6667 0.3333 0.6600
Y 0.8327 0.1673 0.3377
Y 0.8327 0.6655 0.3377
Tm 0.3333 0.6667 0.3386

- V: 388.17 Å³/cell
- Energy of formation: 174 meV/atom
- SG: P3m1

---

[11]
ScNbNi2Cl: optimized geometry, GGA-PBE.

Lattice parameters (Å, degrees): 4.6271 4.6271 4.6703 90.00 90.00 90.00
Fractional coordinates of all 5 atoms:
Sc 0.0000 0.0000 0.0000
Nb 0.5000 0.5000 0.5000
Ni 0.0000 0.5000 0.5000
Ni 0.5000 0.0000 0.5000
Cl 0.5000 0.5000 0.0000

- ΔE_f (raw): 203 kJ/mol of formula units
- V: 99.99 Å³/cell
- SG: P4/mmm

---

[12]
MnOsRh2: optimized geometry, GGA-PBE.

Lattice parameters (Å, degrees): 4.5788 4.5788 2.7684 90.00 90.00 90.00
Fractional coordinates of all 4 atoms:
Mn 0.0000 0.0000 0.0000
Os 0.5000 0.5000 0.0000
Rh 0.0000 0.5000 0.5000
Rh 0.5000 0.0000 0.5000

- V: 58.04 Å³/cell
- Energy of formation: 210 meV/atom
- SG: P4/mmm

---

[13]
Ho6TlSb2Se3: optimized geometry, GGA-PBE.

Lattice parameters (Å, degrees): 9.4533 9.4533 8.5308 102.88 102.88 25.53
Fractional coordinates of all 12 atoms:
Ho 0.0034 0.0034 0.2432
Ho 0.3327 0.3327 0.4235
Ho 0.3343 0.3343 0.9116
Ho 0.6657 0.6657 0.0884
Ho 0.6673 0.6673 0.5765
Ho 0.9966 0.9966 0.7568
Tl 0.5000 0.5000 0.5000
Sb 0.1661 0.1661 0.8333
Sb 0.8339 0.8339 0.1667
Se 0.1693 0.1693 0.3330
Se 0.5000 0.5000 0.0000
Se 0.8307 0.8307 0.6670

- ΔE_f (raw): -1469 kJ/mol of formula units
- V: 319.91 Å³/cell
- SG: C2/m

---

[14]
Ta2W: optimized geometry, GGA-PBE.

Lattice parameters (Å, degrees): 5.3084 5.3084 5.3084 105.04 105.04 118.75
Fractional coordinates of all 6 atoms:
Ta 0.1627 0.6627 0.8254
Ta 0.3373 0.1627 0.5000
Ta 0.6627 0.8373 0.5000
Ta 0.8373 0.3373 0.1746
W 0.2500 0.2500 0.0000
W 0.7500 0.7500 0.0000

- V: 112.85 Å³/cell
- Energy of formation: 366 meV/atom
- SG: I4/mcm

---

[15]
TmPd4: optimized geometry, GGA-PBE.

Lattice parameters (Å, degrees): 7.7847 7.7847 7.7847 147.51 137.27 54.69
Fractional coordinates of all 10 atoms:
Tm 0.3558 0.1058 0.2500
Tm 0.6442 0.8942 0.7500
Pd 0.0000 0.5000 0.5000
Pd 0.1427 0.8927 0.2500
Pd 0.1877 0.6955 0.4922
Pd 0.2966 0.3045 0.9922
Pd 0.5000 0.5000 0.0000
Pd 0.7034 0.6955 0.0078
Pd 0.8123 0.3045 0.5078
Pd 0.8573 0.1073 0.7500

- V: 170.82 Å³/cell
- Energy of formation: -692 meV/atom
- SG: Imma

---

[16]
NbInIrRh: optimized geometry, GGA-PBE.

Lattice parameters (Å, degrees): 4.5624 4.5624 4.5624 60.00 60.00 60.00
Fractional coordinates of all 4 atoms:
Nb 0.0000 0.0000 0.0000
In 0.5000 0.5000 0.5000
Ir 0.7500 0.7500 0.7500
Rh 0.2500 0.2500 0.2500

- V: 67.15 Å³/cell
- Energy of formation: -294 meV/atom
- SG: F-43m

---

[17]
Mn2Tc2Ir: optimized geometry, GGA-PBE.

Lattice parameters (Å, degrees): 6.8810 6.8810 2.7875 90.00 90.00 90.00
Fractional coordinates of all 10 atoms:
Mn 0.1275 0.3725 0.0000
Mn 0.3725 0.8725 0.0000
Mn 0.6275 0.1275 0.0000
Mn 0.8725 0.6275 0.0000
Tc 0.1716 0.6716 0.5000
Tc 0.3284 0.1716 0.5000
Tc 0.6716 0.8284 0.5000
Tc 0.8284 0.3284 0.5000
Ir 0.0000 0.0000 0.0000
Ir 0.5000 0.5000 0.0000

- V: 131.99 Å³/cell
- Energy of formation: 71 meV/atom
- SG: P4/mbm

---

[18]
TaVS2N: optimized geometry, GGA-PBE.

Lattice parameters (Å, degrees): 4.8623 4.8623 3.8745 90.00 90.00 90.00
Fractional coordinates of all 5 atoms:
Ta 0.0000 0.0000 0.0000
V 0.5000 0.5000 0.5000
S 0.0000 0.5000 0.0000
S 0.5000 0.0000 0.0000
N 0.0000 0.0000 0.5000

- ΔE_f (raw): 115 kJ/mol of formula units
- V: 91.60 Å³/cell
- SG: P4/mmm

---

[19]
Ta2NbWBr: optimized geometry, GGA-PBE.

Lattice parameters (Å, degrees): 4.6819 4.6819 4.6002 90.00 90.00 90.00
Fractional coordinates of all 5 atoms:
Ta 0.0000 0.5000 0.0000
Ta 0.5000 0.0000 0.0000
Nb 0.0000 0.0000 0.5000
W 0.5000 0.5000 0.5000
Br 0.5000 0.5000 0.0000

- ΔE_f (raw): 790 kJ/mol of formula units
- V: 100.84 Å³/cell
- SG: P4/mmm

---

[20]
La2SiN: optimized geometry, GGA-PBE.

Lattice parameters (Å, degrees): 7.6941 7.6941 7.6941 28.76 28.76 28.76
Fractional coordinates of all 4 atoms:
La 0.2335 0.2335 0.2335
La 0.7665 0.7665 0.7665
Si 0.0000 0.0000 0.0000
N 0.5000 0.5000 0.5000

- ΔE_f (raw): -314 kJ/mol of formula units
- V: 93.25 Å³/cell
- SG: R-3m